{
  "formula": "CrOsRuO6",
  "functional": "GGA+U",
  "state": "optimized geometry",
  "lattice_angstrom": [[5.0025, 0.0000, 0.0000], [-2.5013, 4.3323, 0.0000], [0.0000, 0.0000, 8.7767]],
  "species": ["Cr", "Cr", "Os", "Os", "Ru", "Ru", "O", "O", "O", "O", "O", "O", "O", "O", "O", "O", "O", "O"],
  "fractional_positions": [[0.3333, 0.6667, 0.2500], [0.6667, 0.3333, 0.7500], [0.3333, 0.6667, 0.7500], [0.6667, 0.3333, 0.2500], [0.0000, 0.0000, 0.0000], [0.0000, 0.0000, 0.5000], [0.0061, 0.3389, 0.6267], [0.0061, 0.6673, 0.8733], [0.3327, 0.3389, 0.8733], [0.3327, 0.9939, 0.6267], [0.3389, 0.0061, 0.1267], [0.3389, 0.3327, 0.3733], [0.6611, 0.6673, 0.6267], [0.6611, 0.9939, 0.8733], [0.6673, 0.0061, 0.3733], [0.6673, 0.6611, 0.1267], [0.9939, 0.3327, 0.1267], [0.9939, 0.6611, 0.3733]],
  "energy_ev_per_atom": -7.59,
  "volume_a3_per_fu": 95.1,
  "rho_g_cm3": 7.7,
  "space_group": "No. 163",
  "total_magnetization_mub_per_fu": 1.99
}